Record 1
An optimized crystal structure of TlCo, computed with GGA-PBE. Values from VASP.

Output
Size of the total moment in μB per cell: 10.00
ρ in g cm⁻³: 10.1
E_form in eV per atom: 0.5306

Quantum ESPRESSO input file:
```
&SYSTEM
  ibrav = 0, nat = 16, ntyp = 2
/
ATOMIC_SPECIES
Tl 204.38 Tl.upf
Co 58.93 Co.upf
ATOMIC_POSITIONS angstrom
Tl 0.114 -5.192 3.079
Tl -1.637 -6.786 -1.611
Tl -2.756 -6.901 2.180
Tl -0.637 -9.603 0.781
Tl 1.233 -5.078 -0.712
Tl 2.133 -7.954 1.649
Tl -3.656 -4.025 -0.180
Tl -0.886 -2.376 0.688
Co 0.779 -6.704 -2.825
Co -2.295 -4.238 2.303
Co 2.594 -5.291 1.772
Co 1.524 -3.330 1.464
Co -2.302 -5.274 4.293
Co 1.530 -2.294 -0.526
Co 2.587 -6.327 3.762
Co 0.772 -7.740 -0.835
CELL_PARAMETERS angstrom
-5.641 -3.358 -1.767
4.139 -5.463 -2.830
-0.021 -3.158 6.065
```

---

Record 2
An optimized crystal structure of TlCo2, computed with GGA-PBE. Values from VASP.

Output
Size of the total moment in μB per cell: 6.64
ρ in g cm⁻³: 11.7
E_form in eV per atom: 0.4830

Quantum ESPRESSO input file:
```
&SYSTEM
  ibrav = 0, nat = 6, ntyp = 2
/
ATOMIC_SPECIES
Co 58.93 Co.upf
Tl 204.38 Tl.upf
ATOMIC_POSITIONS angstrom
Co 2.680 2.680 0.893
Co 2.680 0.893 2.680
Co 0.893 2.680 2.680
Co 0.893 0.893 0.893
Tl 3.573 3.573 3.573
Tl 5.360 5.360 5.360
CELL_PARAMETERS angstrom
0.000 3.573 3.573
3.573 0.000 3.573
3.573 3.573 0.000
```

---

Record 3
An optimized crystal structure of TlCo2, computed with GGA-PBE. Values from VASP.

Output
Size of the total moment in μB per cell: 3.26
ρ in g cm⁻³: 10.6
E_form in eV per atom: 0.5580

Quantum ESPRESSO input file:
```
&SYSTEM
  ibrav = 0, nat = 3, ntyp = 2
/
ATOMIC_SPECIES
Tl 204.38 Tl.upf
Co 58.93 Co.upf
ATOMIC_POSITIONS angstrom
Tl 0.000 0.000 0.000
Co -0.136 -2.786 -0.340
Co -2.142 -1.625 -0.816
CELL_PARAMETERS angstrom
-1.899 0.425 -2.723
2.114 -1.898 -1.770
-2.386 -3.675 1.090
```

---

Record 4
An optimized crystal structure of TlCo2, computed with GGA-PBE. Values from VASP.

Output
Size of the total moment in μB per cell: 6.53
ρ in g cm⁻³: 10.1
E_form in eV per atom: 0.3587

Quantum ESPRESSO input file:
```
&SYSTEM
  ibrav = 0, nat = 6, ntyp = 2
/
ATOMIC_SPECIES
Tl 204.38 Tl.upf
Co 58.93 Co.upf
ATOMIC_POSITIONS angstrom
Tl 1.449 -3.333 0.971
Tl 1.449 3.333 2.913
Co 1.449 -8.556 2.913
Co 1.449 1.075 0.971
Co 1.449 -1.075 2.913
Co 1.449 8.556 0.971
CELL_PARAMETERS angstrom
1.449 -9.394 0.000
1.449 9.394 0.000
0.000 0.000 3.884
```

---

Please write out number 4 again, unchanged.
An optimized crystal structure of TlCo2, computed with GGA-PBE. Values from VASP.

Output
Size of the total moment in μB per cell: 6.53
ρ in g cm⁻³: 10.1
E_form in eV per atom: 0.3587

Quantum ESPRESSO input file:
```
&SYSTEM
  ibrav = 0, nat = 6, ntyp = 2
/
ATOMIC_SPECIES
Tl 204.38 Tl.upf
Co 58.93 Co.upf
ATOMIC_POSITIONS angstrom
Tl 1.449 -3.333 0.971
Tl 1.449 3.333 2.913
Co 1.449 -8.556 2.913
Co 1.449 1.075 0.971
Co 1.449 -1.075 2.913
Co 1.449 8.556 0.971
CELL_PARAMETERS angstrom
1.449 -9.394 0.000
1.449 9.394 0.000
0.000 0.000 3.884
```

---

- What is the formula in the third record?
  TlCo2

---

- Among the records above, which one has the highest E_form?
  number 3